No. 1
Here is a relaxed structure of Ho2SbAu from the Alexandria database. Energies are from PBE.

Cell and atoms, written as POSCAR:
```
Ho2SbAu
1.0
3.784 0.000 0.000
0.000 3.784 0.000
0.000 0.000 6.959
Ho Sb Au
2 1 1
Direct
0.000 0.000 0.246
0.000 0.000 0.754
0.500 0.500 0.500
0.500 0.500 0.000
```

The total energy comes out at -19.80 eV/cell.

=====

No. 2
Here is a relaxed structure of KReAs2 from the Alexandria database. Energies are from PBE.

Cell and atoms, written as POSCAR:
```
KReAs2
1.0
3.109 0.000 0.000
0.000 3.902 0.000
0.000 0.000 8.240
K Re As
1 1 2
Direct
0.000 0.000 0.000
0.500 0.500 0.453
0.000 0.000 0.393
0.500 0.500 0.736
```

The formation enthalpy at 0 K is 0.287 eV/atom. The total energy comes out at -21.70 eV/cell. The excess energy over the best structure of this formula in the dataset is 385.7 meV per atom.

=====

No. 3
Here is a relaxed structure of Ac5LaSm from the Alexandria database. Energies are from PBE.

Cell and atoms, written as POSCAR:
```
Ac5LaSm
1.0
5.587 0.000 0.000
0.000 5.587 0.000
0.000 0.000 9.948
Ac La Sm
5 1 1
Direct
0.000 0.000 0.000
0.000 0.500 0.271
0.000 0.500 0.729
0.500 0.000 0.271
0.500 0.000 0.729
0.500 0.500 0.500
0.500 0.500 0.000
```

The formation enthalpy at 0 K is 0.246 eV/atom. The total energy comes out at -28.46 eV/cell.

=====

No. 4
Here is a relaxed structure of LiCd2Hg2 from the Alexandria database. Energies are from PBE.

Cell and atoms, written as POSCAR:
```
LiCd2Hg2
1.0
5.730 -2.477 0.000
5.730 2.477 0.000
-3.430 0.000 7.764
Li Cd Hg
2 4 4
Direct
0.232 0.232 0.262
0.768 0.768 0.738
0.340 0.340 0.955
0.455 0.455 0.646
0.545 0.545 0.354
0.660 0.660 0.045
0.051 0.051 0.856
0.166 0.166 0.566
0.834 0.834 0.434
0.949 0.949 0.144
```

The formation enthalpy at 0 K is -0.125 eV/atom. The total energy comes out at -9.95 eV/cell. The excess energy over the best structure of this formula in the dataset is 0.9 meV per atom.

=====

No. 5
Here is a relaxed structure of Y2MgCoHg from the Alexandria database. Energies are from PBE.

Cell and atoms, written as POSCAR:
```
Y2MgCoHg
1.0
5.079 0.000 0.000
0.000 5.079 0.000
0.000 0.000 4.933
Y Mg Co Hg
2 1 1 1
Direct
0.000 0.500 0.000
0.500 0.000 0.000
0.000 0.000 0.500
0.000 0.000 0.000
0.500 0.500 0.500
```

The formation enthalpy at 0 K is -0.130 eV/atom. The total energy comes out at -22.58 eV/cell.

=====

Q: Number 1 is which compound?
A: Ho2SbAu